VASP calculation (GGA-PBE) on a relaxed Y3Sc4Ga4 crystal.

```
data_Y3Sc4Ga4
_chemical_formula_sum 'Y6 Sc8 Ga8'
_cell_length_a 4.670
_cell_length_b 7.121
_cell_length_c 15.395
_cell_angle_alpha 90.00
_cell_angle_beta 90.00
_cell_angle_gamma 90.00
_symmetry_space_group_name_H-M 'I m m m'
_symmetry_Int_Tables_number 71
_symmetry_space_group_name_Hall '-I 2 2'
loop_
_atom_site_label
_atom_site_type_symbol
_atom_site_fract_x
_atom_site_fract_y
_atom_site_fract_z
Y1 Y 0.000 0.000 0.000
Y2 Y 0.000 0.500 0.112
Sc1 Sc 0.000 0.290 0.325
Ga1 Ga 0.000 0.000 0.199
Ga2 Ga 0.000 0.190 0.500
```

Calculated values
**E_tot**: -5.6136 eV per atom
**Energy of formation from the pure elements**: -0.448 eV/atom


VASP calculation (GGA-PBE) on a relaxed BaMgCo2 crystal.

```
data_BaMgCo2
_chemical_formula_sum 'Ba2 Mg2 Co4'
_cell_length_a 4.081
_cell_length_b 4.081
_cell_length_c 9.746
_cell_angle_alpha 90.00
_cell_angle_beta 90.00
_cell_angle_gamma 90.00
_symmetry_space_group_name_H-M 'I -4 m 2'
_symmetry_Int_Tables_number 119
_symmetry_space_group_name_Hall 'I -4 -2'
loop_
_atom_site_label
_atom_site_type_symbol
_atom_site_fract_x
_atom_site_fract_y
_atom_site_fract_z
Ba1 Ba 0.000 0.000 0.000
Mg1 Mg 0.000 0.500 0.250
Co1 Co 0.000 0.000 0.500
Co2 Co 0.000 0.500 0.750
```

Calculated values
**E_tot**: -3.6121 eV per atom
**Energy of formation from the pure elements**: 0.820 eV/atom